No. 1
# LaMnCdIr2

A relaxed LaMnCdIr2 crystal (PBE, Alexandria).

Cell lengths 4.9104, 5.3835, 4.9104 Å; angles 90.00, 90.00, 90.00 degrees
Last column: nearest neighbours and their distance in Å.
Fractional positions:
1 Ir 0.0000 0.0000 0.5000  2 Cd 2.46
2 Ir 0.5000 0.0000 0.0000  2 Cd 2.46
3 La 0.0000 0.5000 0.0000  2 Cd 2.69
4 Cd 0.0000 0.0000 0.0000  4 Ir 2.46, 2 La 2.69
5 Mn 0.5000 0.5000 0.5000  4 La 3.47, 8 Ir 3.64

Values from the calculation:
SG = P4/mmm
DOS(E_F) = 1.3344 states/eV/atom
Energy of formation = 187.2 kJ per mole of atoms

---

No. 2
# Ca2SnPtO6

A relaxed Ca2SnPtO6 crystal (PBE, Alexandria).

Cell lengths 5.5275, 5.7132, 7.8862 Å; angles 90.00, 90.75, 90.00 degrees
Last column: nearest neighbours and their distance in Å.
Fractional positions:
1 O 0.8897 0.5417 0.2466  1 Pt 2.06, 1 Sn 2.10
2 O 0.3010 0.6994 0.0584  1 Pt 2.06, 1 Sn 2.09
3 O 0.6926 0.2989 0.5562  1 Pt 2.06, 1 Sn 2.10
4 O 0.3897 0.9583 0.7466  1 Pt 2.06, 1 Sn 2.10
5 O 0.1926 0.2011 0.0562  1 Pt 2.06, 1 Sn 2.10
6 O 0.6990 0.3006 0.9416  1 Pt 2.06, 1 Sn 2.09
7 O 0.8074 0.7989 0.9438  1 Pt 2.06, 1 Sn 2.10
8 O 0.1990 0.1994 0.4416  1 Pt 2.06, 1 Sn 2.09
9 O 0.6103 0.0417 0.2534  1 Pt 2.06, 1 Sn 2.10
10 O 0.1103 0.4583 0.7534  1 Pt 2.06, 1 Sn 2.10
11 O 0.3074 0.7011 0.4438  1 Pt 2.06, 1 Sn 2.10
12 O 0.8010 0.8006 0.5584  1 Pt 2.06, 1 Sn 2.09
13 Ca 0.9828 0.0593 0.7514  6 O 2.32-2.60
14 Ca 0.5172 0.5593 0.7486  6 O 2.32-2.60
15 Ca 0.4828 0.4407 0.2514  6 O 2.32-2.60
16 Ca 0.0172 0.9407 0.2486  6 O 2.32-2.60
17 Pt 0.5000 0.0000 0.5000  6 O 2.06
18 Pt 0.0000 0.5000 0.0000  6 O 2.06
19 Sn 0.5000 0.0000 0.0000  6 O 2.09-2.10
20 Sn 0.0000 0.5000 0.5000  6 O 2.09-2.10

Values from the calculation:
SG = P2_1/c
Energy relative to the elements, uncorrected = -1.876 eV per atom

---

No. 3
# KCaIr2

A relaxed KCaIr2 crystal (PBE, Alexandria).

Cell lengths 5.1249, 5.1249, 7.0435 Å; angles 84.91, 84.91, 32.63 degrees
Last column: nearest neighbours and their distance in Å.
Fractional positions:
1 K 0.7500 0.7500 0.7500  2 K 2.88
2 Ir 0.9934 0.9934 0.0971  4 Ir 2.60-2.88, 3 Ca 2.83-2.91
3 Ir 0.5066 0.5066 0.4029  4 Ir 2.60-2.88, 3 Ca 2.83-2.91
4 Ca 0.2500 0.2500 0.2500  6 Ir 2.83-2.91, 2 Ca 2.88

Values from the calculation:
SG = C2/m
DOS(E_F) = 0.4263 states/eV/atom
Energy of formation = 39.8 kJ per mole of atoms